The following is a DFT calculation (PBEsol) of an optimized crystal structure of ZnRhSe.

abc: 5.7473 5.7473 5.7473
angles: 150.13 150.13 42.76
With the nearest neighbours (Å) after each atom.
Fractional coordinates of all 3 atoms:
Zn (0.0000, 0.0000, 0.0000)  4 Rh 2.64
Rh (0.3493, 0.3493, 0.0000)  4 Se 2.59, 4 Zn 2.64
Se (0.7075, 0.7075, 0.0000)  4 Rh 2.59

Results
DOS at the Fermi energy = 2.44 states/eV per cell
ΔE to the lowest computed polymorph = 0 meV per atom
Uncorrected formation energy = -2.095 kcal/mol of atoms
Energy = -4.614 eV per atom